Record 1
Computed, not measured: crystalline GaSnO2F at its relaxed geometry at the PBE level of DFT.

* SG: P4/mmm, No. 123
* total magnetic moment: 0.00 Bohr magnetons per cell
* raw formation energy: -1.558 eV/atom
* energy: -5.321 eV per atom

Cell lengths 3.940, 3.940, 4.000 Å; angles 90.00, 90.00, 90.00 degrees
Element x y z (fractional)
Ga: 0.000 0.000 0.000
Sn: 0.500 0.500 0.500
O: 0.000 0.500 0.000
O: 0.500 0.000 0.000
F: 0.000 0.000 0.500

=====

Record 2
Computed, not measured: crystalline CrReB at its relaxed geometry at the PBE level of DFT.

* SG: C2/m, No. 12
* energy above the most stable polymorph in this dataset: 0.14 eV per formula unit
* formation enthalpy at 0 K: -0.283 eV/atom
* total magnetic moment: 0.00 Bohr magnetons per cell
* energy: -9.866 eV per atom

Cell lengths 4.539, 4.539, 6.158 Å; angles 123.97, 123.97, 38.39 degrees
Element x y z (fractional)
Cr: 0.172 0.172 0.074
Cr: 0.828 0.828 0.926
Re: 0.420 0.420 0.649
Re: 0.580 0.580 0.351
B: 0.129 0.129 0.666
B: 0.871 0.871 0.334

=====

> energy of number 2 (CrReB)?

-9.866 eV per atom